! PBE-GGA KRbHf2Pt, relaxed; values from VASP
&SYSTEM
  ibrav = 0, nat = 5, ntyp = 4
/
ATOMIC_SPECIES
K 39.10 K.upf
Hf 178.49 Hf.upf
Rb 85.47 Rb.upf
Pt 195.08 Pt.upf
ATOMIC_POSITIONS angstrom
K 0.0000 0.0000 0.0000
Hf -2.0595 -1.2431 -0.7110
Hf -0.4048 1.6999 -1.7996
Rb 1.4648 -1.4533 -1.7022
Pt -0.9995 -0.9964 -4.2128
CELL_PARAMETERS angstrom
-0.8096 3.3998 -3.5993
2.9296 -2.9065 -3.4044
-4.1190 -2.4862 -1.4219
! * E_form: 2.22 eV per atom
! * V: 135 Å³/f.u.
! * crystal system: tetragonal
! * D(E_F): 4.96 states/eV/f.u.
! * SG: No. 123